No. 1
ScBrO2, optimized geometry, DFT PBE-GGA; energy above the most stable polymorph in this dataset = 1246 meV/atom
1.0
4.143 -0.013 0.349
1.798 -1.663 3.360
2.102 -3.573 -0.321
Sc O Br
1 2 1
direct
0.000 0.000 0.000
0.250 0.250 0.250
0.750 0.750 0.750
0.500 0.500 0.500

=====

No. 2
ScBr2O, optimized geometry, DFT PBE-GGA; energy above the most stable polymorph in this dataset = 941 meV/atom
1.0
-3.784 -2.806 0.042
-3.738 1.126 2.638
-3.998 1.406 -2.058
Sc O Br
1 1 2
direct
0.500 0.500 0.500
0.000 0.000 0.000
0.250 0.250 0.250
0.750 0.750 0.750

=====

No. 3
ScBrO2, optimized geometry, DFT PBE-GGA; energy above the most stable polymorph in this dataset = 0 meV/atom
1.0
1.941 0.000 6.044
-0.970 1.681 6.044
-0.970 -1.681 6.044
Sc O Br
1 2 1
direct
0.500 0.500 0.500
0.885 0.885 0.885
0.115 0.115 0.115
0.000 0.000 0.000

=====

No. 4
ScBrO2, optimized geometry, DFT PBE-GGA; energy above the most stable polymorph in this dataset = 1895 meV/atom
1.0
2.253 0.000 5.625
-1.126 1.951 5.625
-1.126 -1.951 5.625
Sc O Br
1 2 1
direct
0.000 0.000 0.000
0.886 0.886 0.886
0.114 0.114 0.114
0.500 0.500 0.500

=====

No. 5
ScBr3O, optimized geometry, DFT PBE-GGA; energy above the most stable polymorph in this dataset = 633 meV/atom
1.0
4.774 0.000 0.000
0.000 4.774 0.000
0.000 0.000 4.774
Sc O Br
1 1 3
direct
0.500 0.500 0.500
0.000 0.000 0.000
0.000 0.500 0.000
0.000 0.000 0.500
0.500 0.000 0.000

=====

No. 6
ScBr2O, optimized geometry, DFT PBE-GGA; energy above the most stable polymorph in this dataset = 996 meV/atom
1.0
-7.298 -0.061 -2.343
-7.520 -0.406 1.424
-7.047 3.012 -0.140
Sc O Br
1 1 2
direct
0.500 0.500 0.500
0.000 0.000 0.000
0.907 0.907 0.907
0.093 0.093 0.093

=====

No. 7
Sc2BrO, optimized geometry, DFT PBE-GGA; energy above the most stable polymorph in this dataset = 70 meV/atom
1.0
1.966 0.000 7.468
-0.983 1.703 7.468
-0.983 -1.703 7.468
Sc O Br
2 1 1
direct
0.886 0.886 0.886
0.114 0.114 0.114
0.500 0.500 0.500
0.000 0.000 0.000

=====

No. 8
The following is a DFT calculation (PBE-GGA) of a geometry-optimized ScBrO structure.

POSCAR file:
```
ScBrO
1.0
-0.659 1.907 2.794
-2.527 -1.814 -1.483
1.337 -4.799 3.592
Sc O Br
1 1 1
direct
0.667 0.333 0.406
0.333 0.667 0.502
0.000 0.000 0.092
```

=====

No. 9
ScSe2BrO, optimized geometry, DFT PBE-GGA; energy above the most stable polymorph in this dataset = 411 meV/atom
1.0
-3.738 3.257 -1.604
-0.771 -2.962 -4.217
-3.530 -2.774 2.594
Sc O Se Br
1 1 2 1
direct
0.000 0.000 0.000
0.500 0.500 0.500
0.000 0.500 0.000
0.500 0.000 0.000
0.000 0.000 0.500

=====

No. 10
ScSe2BrO, optimized geometry, DFT PBE-GGA; energy above the most stable polymorph in this dataset = 0 meV/atom
1.0
4.185 0.000 0.000
0.000 4.185 0.000
0.000 0.000 5.584
Sc O Se Br
1 1 2 1
direct
0.500 0.500 0.500
0.000 0.000 0.000
0.000 0.500 0.000
0.500 0.000 0.000
0.000 0.000 0.500

=====

No. 11
The following is a DFT calculation (PBE-GGA) of a geometry-optimized ScSnBrO2 structure.

POSCAR file:
```
ScSnBrO2
1.0
3.759 0.000 0.000
0.000 6.488 -0.595
0.000 -1.947 7.843
Sc Sn Br O
2 2 2 4
direct
0.250 0.641 0.410
0.750 0.359 0.590
0.250 0.695 0.938
0.750 0.305 0.062
0.250 0.045 0.688
0.750 0.955 0.312
0.750 0.497 0.386
0.250 0.503 0.614
0.750 0.492 0.866
0.250 0.508 0.134
```

=====

No. 12
The following is a DFT calculation (PBE-GGA) of a geometry-optimized Sr2ScBr2O2 structure.

POSCAR file:
```
Sr2ScBr2O2
1.0
4.257 0.000 0.000
0.000 4.257 0.000
-2.129 -2.129 8.612
Sr Sc Br O
2 1 2 2
direct
0.402 0.402 0.805
0.598 0.598 0.195
0.000 0.000 0.000
0.171 0.171 0.342
0.829 0.829 0.658
0.000 0.500 0.000
0.500 0.000 0.000
```

=====

No. 13
The following is a DFT calculation (PBE-GGA) of a geometry-optimized ScTc2BrO structure.

POSCAR file:
```
ScTc2BrO
1.0
5.273 0.000 0.000
0.000 3.875 0.000
0.000 0.000 5.273
Sc O Tc Br
1 1 2 1
direct
0.000 0.000 0.000
0.000 0.500 0.000
0.000 0.000 0.500
0.500 0.000 0.000
0.500 0.500 0.500
```

=====

No. 14
The following is a DFT calculation (PBE-GGA) of a geometry-optimized ScTi2BrO structure.

POSCAR file:
```
ScTi2BrO
1.0
-0.028 3.961 -2.582
-1.339 -2.344 -3.582
-4.513 0.748 1.197
Sc O Br Ti
1 1 1 2
direct
0.500 0.500 0.500
0.000 0.500 0.000
0.000 0.000 0.000
0.000 0.000 0.500
0.500 0.000 0.000
```

=====

No. 15
The following is a DFT calculation (PBE-GGA) of a geometry-optimized ScTiBr2O structure.

POSCAR file:
```
ScTiBr2O
1.0
4.746 0.000 0.000
0.000 5.721 0.000
0.000 0.000 4.746
Sc O Br Ti
1 1 2 1
direct
0.000 0.500 0.000
0.500 0.500 0.500
0.000 0.000 0.500
0.500 0.000 0.000
0.000 0.000 0.000
```

=====

No. 16
The following is a DFT calculation (PBE-GGA) of a geometry-optimized Sc2ZnBrO structure.

POSCAR file:
```
Sc2ZnBrO
1.0
5.179 0.000 0.000
0.000 3.868 0.000
0.000 0.000 5.179
Sc Zn O Br
2 1 1 1
direct
0.000 0.000 0.500
0.500 0.000 0.000
0.000 0.000 0.000
0.000 0.500 0.000
0.500 0.500 0.500
```

=====

No. 17
Se2BrO, optimized geometry, DFT PBE-GGA; energy above the most stable polymorph in this dataset = 817 meV/atom
1.0
0.000 3.277 3.277
3.277 0.000 3.277
3.277 3.277 0.000
O Se Br
1 2 1
direct
0.000 0.000 0.000
0.250 0.250 0.250
0.750 0.750 0.750
0.500 0.500 0.500

=====

No. 18
The following is a DFT calculation (PBE-GGA) of a geometry-optimized SeBrO structure.

POSCAR file:
```
SeBrO
1.0
-0.674 4.485 0.447
-5.981 -2.128 -1.873
1.553 3.069 7.297
Se Br O
2 2 2
direct
0.568 0.638 0.924
0.993 0.152 0.225
0.606 0.203 0.704
0.955 0.585 0.454
0.192 0.714 0.980
0.668 0.078 0.157
```

=====

No. 19
The following is a DFT calculation (PBE-GGA) of a geometry-optimized SeBrO structure.

POSCAR file:
```
SeBrO
1.0
3.330 0.000 0.000
0.000 3.330 0.000
-1.665 -1.665 5.250
Br Se O
1 1 1
direct
0.985 0.985 0.971
0.765 0.765 0.529
0.250 0.250 0.500
```

=====

No. 20
SeBrO2, optimized geometry, DFT PBE-GGA; energy above the most stable polymorph in this dataset = 1044 meV/atom
1.0
0.000 2.973 2.973
2.973 0.000 2.973
2.973 2.973 0.000
O Se Br
2 1 1
direct
0.250 0.250 0.250
0.750 0.750 0.750
0.000 0.000 0.000
0.500 0.500 0.500

=====

How do the records compare in E_form (uncorrected)? In the order shown, they have -0.761, -0.632, -2.007, -0.112, 0.036, -0.577, -1.615, -2.592, 0.104, -0.307, -2.151, -2.413, 0.725, 0.514, 0.015, -0.204, 1.056, -0.249, 0.198, 1.099 eV/atom.